Density functional theory data (PBE-GGA) for crystalline TcMo6W at its relaxed geometry.

Computed properties:
magnetization = 0.0 μB/cell
energy of formation from the pure elements = 16 kJ/mol of formula units
DOS at the Fermi energy = 0.928 states/eV/atom
energy = -88.14 eV per formula unit

a b c (Å): 4.4746 6.2997 8.9277
angles (deg): 90.00 90.00 90.00
Last column: nearest neighbours and their distance in Å.
Space group Amm2 (No. 38)
Symmetry-distinct sites (fractional):
Tc 0.0000 0.0000 0.0000 x2  8 Mo 2.72-2.74
Mo 0.0000 0.0000 0.4991 x2  8 Mo 2.73
Mo 0.0000 0.2502 0.2488 x4  2 Tc 2.72-2.74, 4 Mo 2.73-2.74, 2 W 2.74
Mo 0.5000 0.0000 0.7512 x2  8 Mo 2.72-2.74
Mo 0.5000 0.2484 0.4987 x4  4 Mo 2.72-2.74, 2 W 2.73, 2 Tc 2.74
W 0.5000 0.0000 0.2480 x2  8 Mo 2.73-2.74